The following is a PBE calculation of a geometry-optimized Li2GdHg structure, from Alexandria.

The structure belongs to space group P4/mmm (No. 123); the cell edges are 3.558, 3.558 and 6.912 Å and the angles 90.00°, 90.00° and 90.00°. Symmetry generates all atoms from Li at (0.000, 0.000, 0.194), Gd at (0.500, 0.500, 0.500) and Hg at (0.500, 0.500, 0.000).

Its calculated density is 7.053 Mg/m³. The calculation puts the offset from the most stable computed form at 0.038 eV per atom.

The following is a PBE calculation of a geometry-optimized Li2GdHg structure, from Alexandria.

The structure belongs to space group Fm-3m (No. 225); the cell edges are 6.860, 6.860 and 6.860 Å and the angles 90.00°, 90.00° and 90.00°. Symmetry generates all atoms from Li at (0.250, 0.250, 0.250), Gd at (0.000, 0.000, 0.000) and Hg at (0.000, 0.000, 0.500).

Its calculated density is 7.648 Mg/m³. The calculation puts the offset from the most stable computed form at 0.000 eV per atom.

The following is a PBE calculation of a geometry-optimized LiGdHg2 structure, from Alexandria.

The structure belongs to space group P4/mmm (No. 123); the cell edges are 5.199, 5.199 and 3.541 Å and the angles 90.00°, 90.00° and 90.00°. Symmetry generates all atoms from Li at (0.000, 0.000, 0.000), Gd at (0.500, 0.500, 0.000) and Hg at (0.000, 0.500, 0.500).

Its calculated density is 9.809 Mg/m³. The calculation puts the offset from the most stable computed form at 0.057 eV per atom.

The following is a PBE calculation of a geometry-optimized LiGdHg2 structure, from Alexandria.

The structure belongs to space group Fm-3m (No. 225); the cell edges are 7.161, 7.161 and 7.161 Å and the angles 90.00°, 90.00° and 90.00°. Symmetry generates all atoms from Li at (0.000, 0.000, 0.000), Gd at (0.000, 0.000, 0.500) and Hg at (0.250, 0.250, 0.250).

Its calculated density is 10.226 Mg/m³. The calculation puts the offset from the most stable computed form at 0.000 eV per atom.

The following is a PBE calculation of a geometry-optimized Li4GdHg structure, from Alexandria.

The structure belongs to space group F-43m (No. 216); the cell edges are 7.716, 7.716 and 7.716 Å and the angles 90.00°, 90.00° and 90.00°. Symmetry generates all atoms from Li at (0.123, 0.123, 0.377), Gd at (0.000, 0.000, 0.000) and Hg at (0.250, 0.250, 0.750).

Its calculated density is 5.576 Mg/m³.

The following is a PBE calculation of a geometry-optimized LiGdHg2 structure, from Alexandria.

The structure belongs to space group P4/mmm (No. 123); the cell edges are 3.505, 3.505 and 7.334 Å and the angles 90.00°, 90.00° and 90.00°. Symmetry generates all atoms from Li at (0.000, 0.000, 0.000), Gd at (0.000, 0.000, 0.500) and Hg at (0.500, 0.500, 0.214).

Its calculated density is 10.422 Mg/m³. The calculation puts the offset from the most stable computed form at 0.035 eV per atom.

The following is a PBE calculation of a geometry-optimized LiGdHg4 structure, from Alexandria.

The structure belongs to space group F-43m (No. 216); the cell edges are 8.392, 8.392 and 8.392 Å and the angles 90.00°, 90.00° and 90.00°. Symmetry generates all atoms from Li at (0.000, 0.000, 0.000), Gd at (0.250, 0.250, 0.250) and Hg at (0.125, 0.125, 0.625).

Its calculated density is 10.864 Mg/m³.

The following is a PBE calculation of a geometry-optimized LiGdHg3 structure, from Alexandria.

The structure belongs to space group Pm-3m (No. 221); the cell edges are 4.881, 4.881 and 4.881 Å and the angles 90.00°, 90.00° and 90.00°. Symmetry generates all atoms from Li at (0.000, 0.000, 0.000), Gd at (0.500, 0.500, 0.500) and Hg at (0.000, 0.000, 0.500).

Its calculated density is 10.938 Mg/m³.

Asked for formation energy from the elements across the records above, the calculation gives -136, -174, -386, -443, -114, -408, -143, -204 meV per atom in order.